[1]
! Ti2AlAu PBE relaxed; values from VASP
&SYSTEM
  ibrav = 0, nat = 8, ntyp = 3
/
ATOMIC_SPECIES
Au 196.97 Au.upf
Al 26.98 Al.upf
Ti 47.87 Ti.upf
ATOMIC_POSITIONS crystal
Au 0.000 0.000 0.000
Au 0.750 0.250 0.500
Al 0.500 0.500 0.000
Al 0.250 0.750 0.500
Ti 0.635 0.125 0.250
Ti 0.115 0.625 0.250
Ti 0.375 0.365 0.750
Ti 0.875 0.885 0.750
CELL_PARAMETERS angstrom
-3.304 -1.044 6.547
-2.376 -6.643 -2.258
-0.639 -4.949 3.079
! Energy of formation from the pure elements, eV/atom: 0.0302
! Density, Mg/m³: 7.34


[2]
! GaCuPd PBE relaxed; values from VASP
&SYSTEM
  ibrav = 0, nat = 3, ntyp = 3
/
ATOMIC_SPECIES
Cu 63.55 Cu.upf
Ga 69.72 Ga.upf
Pd 106.42 Pd.upf
ATOMIC_POSITIONS crystal
Cu 0.608 0.608 0.215
Ga 0.954 0.954 0.908
Pd 0.288 0.288 0.576
CELL_PARAMETERS angstrom
-3.063 0.412 -0.415
-0.584 -2.025 2.298
1.871 4.051 1.930
! Energy of formation from the pure elements, eV/atom: -0.3381
! ΔE to the lowest computed polymorph, meV per atom: 12.7
! Density, Mg/m³: 9.45


Short version: total energy = -5.67; -4.44 eV/atom, in the order given.